[1]
First-principles (GGA-PBE) data for CeTlCdBi after structural relaxation, as listed in the Alexandria database.

Results
Offset from the most stable computed form in meV per atom: 0
VASP energy in eV per atom: -3.6483
Magnetization in μB per formula unit: 0.963
Symmetry: No. 47
DFT formation energy in meV per atom: -374
Density in g/cm3: 9.92

a b c (Å): 4.5612 4.7632 5.1330
angles (deg): 90.00 90.00 90.00
Positions (direct):
1 Ce 0.0000 0.0000 0.0000
2 Tl 0.5000 0.0000 0.5000
3 Cd 0.0000 0.5000 0.5000
4 Bi 0.5000 0.5000 0.0000


[2]
First-principles (GGA-PBE) data for CeTlCdBi after structural relaxation, as listed in the Alexandria database.

Results
Offset from the most stable computed form in meV per atom: 194
VASP energy in eV per atom: -3.4544
Magnetization in μB per formula unit: 1.238
Symmetry: No. 216
DFT formation energy in meV per atom: -180
Density in g/cm3: 9.70

a b c (Å): 5.4425 5.4425 5.4425
angles (deg): 60.00 60.00 60.00
Positions (direct):
1 Ce 0.0000 0.0000 0.0000
2 Tl 0.7500 0.7500 0.7500
3 Cd 0.5000 0.5000 0.5000
4 Bi 0.2500 0.2500 0.2500


[3]
First-principles (GGA-PBE) data for CdBiCl5 after structural relaxation, as listed in the Alexandria database.

Results
Offset from the most stable computed form in meV per atom: 42
VASP energy in eV per atom: -2.9470
Formation energy without anion corrections in eV/atom: -0.94
Magnetization in μB per formula unit: 0.000
Symmetry: No. 15
Density in g/cm3: 3.85

a b c (Å): 7.1811 7.1811 9.4291
angles (deg): 108.67 108.67 74.97
Positions (direct):
1 Cd 0.0000 0.0000 0.0000
2 Cd 0.0000 0.0000 0.5000
3 Bi 0.4666 0.5334 0.7500
4 Bi 0.5334 0.4666 0.2500
5 Cl 0.1192 0.8808 0.7500
6 Cl 0.1943 0.2967 0.6457
7 Cl 0.2915 0.6596 0.0422
8 Cl 0.2967 0.1943 0.1457
9 Cl 0.3404 0.7085 0.4578
10 Cl 0.6596 0.2915 0.5422
11 Cl 0.7033 0.8057 0.8543
12 Cl 0.7085 0.3404 0.9578
13 Cl 0.8057 0.7033 0.3543
14 Cl 0.8808 0.1192 0.2500


[4]
First-principles (GGA-PBE) data for CdBiCl after structural relaxation, as listed in the Alexandria database.

Results
Offset from the most stable computed form in meV per atom: 138
VASP energy in eV per atom: -2.5588
Formation energy without anion corrections in eV/atom: -0.34
Magnetization in μB per formula unit: 0.000
Symmetry: No. 12
Density in g/cm3: 5.50

a b c (Å): 6.2493 6.2493 10.4878
angles (deg): 121.04 121.04 38.95
Positions (direct):
1 Cd 0.0865 0.0865 0.4557
2 Cd 0.9135 0.9135 0.5443
3 Bi 0.2041 0.2041 0.0601
4 Bi 0.7959 0.7959 0.9399
5 Cl 0.3607 0.3607 0.6668
6 Cl 0.6393 0.6393 0.3332


Q: Among the records above, which one has the highest offset from the most stable computed form?
A: number 2


Q: Number 2 is which compound?
A: CeTlCdBi


What did the first record say?
First-principles (GGA-PBE) data for CeTlCdBi after structural relaxation, as listed in the Alexandria database.

Results
Offset from the most stable computed form in meV per atom: 0
VASP energy in eV per atom: -3.6483
Magnetization in μB per formula unit: 0.963
Symmetry: No. 47
DFT formation energy in meV per atom: -374
Density in g/cm3: 9.92

a b c (Å): 4.5612 4.7632 5.1330
angles (deg): 90.00 90.00 90.00
Positions (direct):
1 Ce 0.0000 0.0000 0.0000
2 Tl 0.5000 0.0000 0.5000
3 Cd 0.0000 0.5000 0.5000
4 Bi 0.5000 0.5000 0.0000